A relaxed structure of RbLi2MoF8, computed with PBE with a Hubbard U.

Cell: 5.0296 5.0396 7.8760 Å, 85.28 85.27 73.01°
Last column: nearest neighbours and their distance in Å.
Fractional coordinates of all 12 atoms:
Rb 0.0000 0.0000 0.0000  6 F 2.76-2.89
Li 0.4968 0.4969 0.8334  4 F 1.85-2.03
Li 0.5032 0.5031 0.1666  4 F 1.85-2.03
Mo 0.0000 0.0000 0.5000  6 F 1.87-1.96
F 0.2193 0.7601 0.6780  1 Mo 1.96, 1 Li 2.03
F 0.2320 0.2314 0.4910  1 Mo 1.87
F 0.2401 0.7807 0.3220  1 Mo 1.96, 1 Li 2.03
F 0.3384 0.3378 0.0209  2 Li 1.85-1.86
F 0.6616 0.6622 0.9791  2 Li 1.85-1.86
F 0.7599 0.2193 0.6780  1 Mo 1.96, 1 Li 2.03
F 0.7680 0.7686 0.5090  1 Mo 1.87
F 0.7807 0.2399 0.3220  1 Mo 1.96, 1 Li 2.03

Calculated values
Raw total energy: -58.40 eV for the cell shown